1.
# MnCdCl2, optimized geometry, DFT PBE
# Uncorrected formation energy (eV/atom): -0.16
# VASP energy (eV per cell): -28.83
data_MnCdCl2
_cell_length_a 7.804
_cell_length_b 7.783
_cell_length_c 3.314
_cell_angle_alpha 90.00
_cell_angle_beta 90.84
_cell_angle_gamma 90.00
_space_group_name_H-M_alt 'C 1 2/m 1'
_space_group_IT_number 12
loop_
_space_group_symop_operation_xyz
'x,y,z'
'-x,-y,-z'
'-x,y,-z'
'x,-y,z'
'x+1/2,y+1/2,z'
'-x+1/2,-y+1/2,-z'
'-x+1/2,y+1/2,-z'
'x+1/2,-y+1/2,z'
loop_
_atom_site_label
_atom_site_fract_x
_atom_site_fract_y
_atom_site_fract_z
Mn1 0.000 0.000 0.000
Cd1 0.000 0.500 0.000
Cl1 0.250 0.250 0.000

***

2.
# MnCd2Cl, optimized geometry, DFT PBE
# Uncorrected formation energy (eV/atom): -0.06
# VASP energy (eV per cell): -26.17
data_MnCd2Cl
_cell_length_a 13.295
_cell_length_b 3.073
_cell_length_c 4.940
_cell_angle_alpha 90.00
_cell_angle_beta 111.70
_cell_angle_gamma 90.00
_space_group_name_H-M_alt 'C 1 m 1'
_space_group_IT_number 8
loop_
_space_group_symop_operation_xyz
'x,y,z'
'x,-y,z'
'x+1/2,y+1/2,z'
'x+1/2,-y+1/2,z'
loop_
_atom_site_label
_atom_site_fract_x
_atom_site_fract_y
_atom_site_fract_z
Mn1 0.000 0.000 0.000
Cd1 0.042 0.500 0.542
Cd2 0.194 0.500 0.193
Cl1 0.346 0.000 0.846

***

3.
# MnCdCl2, optimized geometry, DFT PBE
# Uncorrected formation energy (eV/atom): -0.47
# VASP energy (eV per cell): -15.64
data_MnCdCl2
_cell_length_a 3.206
_cell_length_b 3.206
_cell_length_c 9.513
_cell_angle_alpha 90.00
_cell_angle_beta 90.00
_cell_angle_gamma 90.00
_space_group_name_H-M_alt 'P 4/m m m'
_space_group_IT_number 123
_space_group_name_Hall '-P 4 2'
loop_
_atom_site_label
_atom_site_fract_x
_atom_site_fract_y
_atom_site_fract_z
Mn1 0.000 0.000 0.000
Cd1 0.000 0.000 0.500
Cl1 0.500 0.500 0.161